Record 1
This record from Alexandria via LeMat-Bulk describes a relaxed Pm5AgTe4 crystal. The functional is PBE.

CIF file:
```
data_Pm5AgTe4
_space_group_name_H-M_alt 'I m m m'
_space_group_IT_number 71
_space_group_name_Hall '-I 2 2'
_cell_length_a 4.3609
_cell_length_b 6.3167
_cell_length_c 22.5209
_cell_angle_alpha 90.00
_cell_angle_beta 90.00
_cell_angle_gamma 90.00
loop_
_atom_site_label
_atom_site_fract_x
_atom_site_fract_y
_atom_site_fract_z
Pm1 0.0000 0.0000 0.0000
Pm2 0.0000 0.0000 0.2004
Pm3 0.0000 0.0000 0.4050
Ag1 0.0000 0.5000 0.0000
Te1 0.0000 0.5000 0.1975
Te2 0.0000 0.5000 0.3995
```

Properties
energy relative to the elements, uncorrected	-1166.0	meV per atom
electronic total energy	-5.083	eV/atom

=====

Record 2
This record from Alexandria via LeMat-Bulk describes a relaxed Pm2AgTe3 crystal. The functional is PBE.

CIF file:
```
data_Pm2AgTe3
_space_group_name_H-M_alt 'I m m m'
_space_group_IT_number 71
_space_group_name_Hall '-I 2 2'
_cell_length_a 4.0749
_cell_length_b 5.1573
_cell_length_c 17.6828
_cell_angle_alpha 90.00
_cell_angle_beta 90.00
_cell_angle_gamma 90.00
loop_
_atom_site_label
_atom_site_fract_x
_atom_site_fract_y
_atom_site_fract_z
Pm1 0.0000 0.0000 0.1408
Ag1 0.0000 0.0000 0.5000
Te1 0.0000 0.0000 0.3219
Te2 0.0000 0.5000 0.5000
```

Properties
energy relative to the elements, uncorrected	-970.8	meV per atom
electronic total energy	-4.600	eV/atom

=====

Record 3
This record from Alexandria via LeMat-Bulk describes a relaxed PmAgTe2 crystal. The functional is PBE.

CIF file:
```
data_PmAgTe2
_space_group_name_H-M_alt 'R -3 m'
_space_group_IT_number 166
_space_group_name_Hall '-R 3 2"'
_cell_length_a 4.6464
_cell_length_b 4.6464
_cell_length_c 25.9750
_cell_angle_alpha 90.00
_cell_angle_beta 90.00
_cell_angle_gamma 120.00
loop_
_atom_site_label
_atom_site_fract_x
_atom_site_fract_y
_atom_site_fract_z
Pm1 0.0000 0.0000 0.0000
Ag1 0.0000 0.0000 0.5000
Te1 0.0000 0.0000 0.3982
```

Properties
energy relative to the elements, uncorrected	-829.3	meV per atom
electronic total energy	-4.301	eV/atom

=====

Record 4
This record from Alexandria via LeMat-Bulk describes a relaxed Pm2AgTe crystal. The functional is PBE.

CIF file:
```
data_Pm2AgTe
_space_group_name_H-M_alt 'R 3 m'
_space_group_IT_number 160
_space_group_name_Hall 'R 3 -2"'
_cell_length_a 4.3010
_cell_length_b 4.3010
_cell_length_c 23.0605
_cell_angle_alpha 90.00
_cell_angle_beta 90.00
_cell_angle_gamma 120.00
loop_
_atom_site_label
_atom_site_fract_x
_atom_site_fract_y
_atom_site_fract_z
Pm1 0.0000 0.0000 0.0000
Pm2 0.0000 0.0000 0.1779
Ag1 0.0000 0.0000 0.5894
Te1 0.0000 0.0000 0.4214
```

Properties
energy relative to the elements, uncorrected	-711.9	meV per atom
electronic total energy	-4.585	eV/atom

=====

Record 5
This record from Alexandria via LeMat-Bulk describes a relaxed Pm3AgTe4 crystal. The functional is PBE.

CIF file:
```
data_Pm3AgTe4
_space_group_name_H-M_alt 'R -3 m'
_space_group_IT_number 166
_space_group_name_Hall '-R 3 2"'
_cell_length_a 4.4600
_cell_length_b 4.4600
_cell_length_c 43.2177
_cell_angle_alpha 90.00
_cell_angle_beta 90.00
_cell_angle_gamma 120.00
loop_
_atom_site_label
_atom_site_fract_x
_atom_site_fract_y
_atom_site_fract_z
Pm1 0.0000 0.0000 0.0000
Pm2 0.0000 0.0000 0.2485
Ag1 0.0000 0.0000 0.5000
Te1 0.0000 0.0000 0.1273
Te2 0.0000 0.0000 0.3758
```

Properties
energy relative to the elements, uncorrected	-1132.6	meV per atom
electronic total energy	-4.841	eV/atom

=====

Record 6
This record from Alexandria via LeMat-Bulk describes a relaxed Pm5AgTe4 crystal. The functional is PBE.

CIF file:
```
data_Pm5AgTe4
_space_group_name_H-M_alt 'I 4/m m m'
_space_group_IT_number 139
_space_group_name_Hall '-I 4 2'
_cell_length_a 4.4405
_cell_length_b 4.4405
_cell_length_c 31.5050
_cell_angle_alpha 90.00
_cell_angle_beta 90.00
_cell_angle_gamma 90.00
loop_
_atom_site_label
_atom_site_fract_x
_atom_site_fract_y
_atom_site_fract_z
Pm1 0.0000 0.0000 0.0000
Pm2 0.0000 0.0000 0.1969
Pm3 0.0000 0.0000 0.4001
Ag1 0.0000 0.0000 0.5000
Te1 0.0000 0.0000 0.0987
Te2 0.0000 0.0000 0.2996
```

Properties
energy relative to the elements, uncorrected	-1157.5	meV per atom
electronic total energy	-5.075	eV/atom